1) Compound: Ca3FeMo
Source: Alexandria via LeMat-Bulk
Functional: PBE-GGA
Structure: relaxed

It has space group Pm-3m (No. 221), with a = 5.4896 Å, b = 5.4896 Å, c = 5.4896 Å, α = 90.00°, β = 90.00° and γ = 90.00°. The inequivalent atoms are Ca at (0.0000, 0.0000, 0.5000), Fe at (0.5000, 0.5000, 0.5000) and Mo at (0.0000, 0.0000, 0.0000).

The calculation puts the density of states at the Fermi level at 1.4512 states/eV per atom. The volume is 165.4 Å³ per cell.

=====

2) Compound: Ca3FeMo
Source: Alexandria via LeMat-Bulk
Functional: PBE-GGA
Structure: relaxed

It has space group Pm-3m (No. 221), with a = 5.2889 Å, b = 5.2889 Å, c = 5.2889 Å, α = 90.00°, β = 90.00° and γ = 90.00°. The inequivalent atoms are Ca at (0.0000, 0.0000, 0.5000), Fe at (0.0000, 0.0000, 0.0000) and Mo at (0.5000, 0.5000, 0.5000).

The calculation puts the density of states at the Fermi level at 1.9982 states/eV per atom. The volume is 147.9 Å³ per cell.

=====

The data favor 2); the next most stable structure lies 142 meV/atom above it.

=====

1) Compound: CaFeMo3
Source: Alexandria via LeMat-Bulk
Functional: PBE-GGA
Structure: relaxed

It has space group Pm-3m (No. 221), with a = 4.5117 Å, b = 4.5117 Å, c = 4.5117 Å, α = 90.00°, β = 90.00° and γ = 90.00°. The inequivalent atoms are Ca at (0.0000, 0.0000, 0.0000), Fe at (0.5000, 0.5000, 0.5000) and Mo at (0.0000, 0.0000, 0.5000).

The calculation puts the density of states at the Fermi level at 2.1222 states/eV per atom. The volume is 91.8 Å³ per cell.

=====

2) Compound: CaFeMo3
Source: Alexandria via LeMat-Bulk
Functional: PBE-GGA
Structure: relaxed

It has space group Pm-3m (No. 221), with a = 4.5955 Å, b = 4.5955 Å, c = 4.5955 Å, α = 90.00°, β = 90.00° and γ = 90.00°. The inequivalent atoms are Ca at (0.0000, 0.0000, 0.0000), Fe at (0.5000, 0.5000, 0.5000) and Mo at (0.0000, 0.5000, 0.5000).

The calculation puts the density of states at the Fermi level at 1.4871 states/eV per atom. The volume is 97.1 Å³ per cell.

=====

The data favor 2); the next most stable structure lies 2023 meV/atom above it.

=====

1) Compound: CaFe3N
Source: Alexandria via LeMat-Bulk
Functional: PBE-GGA
Structure: relaxed

It has space group Pm-3m (No. 221), with a = 4.5112 Å, b = 4.5112 Å, c = 4.5112 Å, α = 90.00°, β = 90.00° and γ = 90.00°. The inequivalent atoms are Ca at (0.0000, 0.0000, 0.0000), Fe at (0.0000, 0.0000, 0.5000) and N at (0.5000, 0.5000, 0.5000).

The calculation puts the density of states at the Fermi level at 1.7689 states/eV per atom. The volume is 91.8 Å³ per cell.

=====

2) Compound: CaFe3N
Source: Alexandria via LeMat-Bulk
Functional: PBE-GGA
Structure: relaxed

It has space group Pm-3m (No. 221), with a = 4.0151 Å, b = 4.0151 Å, c = 4.0151 Å, α = 90.00°, β = 90.00° and γ = 90.00°. The inequivalent atoms are Ca at (0.0000, 0.0000, 0.0000), Fe at (0.0000, 0.5000, 0.5000) and N at (0.5000, 0.5000, 0.5000).

The calculation puts the density of states at the Fermi level at 0.8481 states/eV per atom. The volume is 64.7 Å³ per cell.

=====

The data favor 2); the next most stable structure lies 2861 meV/atom above it.

=====

1) Compound: Ca3FeN3
Source: Alexandria via LeMat-Bulk
Functional: PBE-GGA
Structure: relaxed

It has space group P6_3/m (No. 176), with a = 7.2158 Å, b = 7.2158 Å, c = 4.9826 Å, α = 90.00°, β = 90.00° and γ = 120.00°. The inequivalent atoms are Ca at (0.0852, 0.3599, 0.2500), Fe at (0.3333, 0.6667, 0.7500) and N at (0.1048, 0.4104, 0.7500).

The calculation puts the density of states at the Fermi level at 0.3173 states/eV per atom. The volume is 224.7 Å³ per cell.

=====

2) Compound: Ca3FeN3
Source: Alexandria via LeMat-Bulk
Functional: PBE-GGA
Structure: relaxed

It has space group Cmcm (No. 63), with a = 8.5564 Å, b = 10.0736 Å, c = 5.0176 Å, α = 90.00°, β = 90.00° and γ = 90.00°. The inequivalent atoms are Ca at (0.0000, 0.1081, 0.2500), Ca at (0.2187, 0.3796, 0.2500), Fe at (0.0000, 0.3038, 0.7500), N at (0.0000, 0.1246, 0.7500) and N at (0.1970, 0.3687, 0.7500).

The calculation puts the density of states at the Fermi level at 0.3110 states/eV per atom. The volume is 432.5 Å³ per cell.

=====

The data favor 1); the next most stable structure lies 17 meV/atom above it.

=====

1) Compound: CaFeTe2N
Source: Alexandria via LeMat-Bulk
Functional: PBE-GGA
Structure: relaxed

It has space group P4/mmm (No. 123), with a = 5.8420 Å, b = 5.8420 Å, c = 4.1375 Å, α = 90.00°, β = 90.00° and γ = 90.00°. The inequivalent atoms are Ca at (0.0000, 0.0000, 0.0000), Fe at (0.5000, 0.5000, 0.5000), Te at (0.0000, 0.5000, 0.0000) and N at (0.0000, 0.0000, 0.5000).

The calculation puts the density of states at the Fermi level at 1.9121 states/eV per atom. The volume is 141.2 Å³ per cell.

=====

2) Compound: CaFeTe2N
Source: Alexandria via LeMat-Bulk
Functional: PBE-GGA
Structure: relaxed

It has space group P4/mmm (No. 123), with a = 5.4956 Å, b = 5.4956 Å, c = 3.4793 Å, α = 90.00°, β = 90.00° and γ = 90.00°. The inequivalent atoms are Ca at (0.0000, 0.0000, 0.0000), Fe at (0.5000, 0.5000, 0.5000), Te at (0.0000, 0.5000, 0.5000) and N at (0.5000, 0.5000, 0.0000).

The calculation puts the density of states at the Fermi level at 0.5442 states/eV per atom. The volume is 105.1 Å³ per cell.

=====

The data favor 2); the next most stable structure lies 1491 meV/atom above it.

=====

1) Compound: NaCa2Fe
Source: Alexandria via LeMat-Bulk
Functional: PBE-GGA
Structure: relaxed

It has space group Fd-3m (No. 227, origin choice 2), with a = 10.8619 Å, b = 10.8619 Å, c = 10.8619 Å, α = 90.00°, β = 90.00° and γ = 90.00°. The inequivalent atoms are Na at (0.1250, 0.1250, 0.1250), Ca at (0.0000, 0.0000, 0.5000) and Fe at (0.1250, 0.1250, 0.6250).

The calculation puts the density of states at the Fermi level at 0.8489 states/eV per atom. The volume is 1281.5 Å³ per cell.

=====

2) Compound: NaCa2Fe
Source: Alexandria via LeMat-Bulk
Functional: PBE-GGA
Structure: relaxed

It has space group Fm-3m (No. 225), with a = 7.4447 Å, b = 7.4447 Å, c = 7.4447 Å, α = 90.00°, β = 90.00° and γ = 90.00°. The inequivalent atoms are Na at (0.0000, 0.0000, 0.0000), Ca at (0.2500, 0.2500, 0.2500) and Fe at (0.0000, 0.0000, 0.5000).

The calculation puts the density of states at the Fermi level at 4.3581 states/eV per atom. The volume is 412.6 Å³ per cell.

=====

The data favor 2); the next most stable structure lies 339 meV/atom above it.

=====

1) Compound: Ca2NbFe
Source: Alexandria via LeMat-Bulk
Functional: PBE-GGA
Structure: relaxed

It has space group I-42d (No. 122), with a = 10.8088 Å, b = 10.8088 Å, c = 4.4140 Å, α = 90.00°, β = 90.00° and γ = 90.00°. The inequivalent atoms are Ca at (0.0870, 0.2500, 0.1250), Nb at (0.0000, 0.0000, 0.5000) and Fe at (0.0000, 0.0000, 0.0000).

The calculation puts the density of states at the Fermi level at 1.4140 states/eV per atom. The volume is 515.7 Å³ per cell.

=====

2) Compound: Ca2NbFe
Source: Alexandria via LeMat-Bulk
Functional: PBE-GGA
Structure: relaxed

It has space group Fm-3m (No. 225), with a = 7.0925 Å, b = 7.0925 Å, c = 7.0925 Å, α = 90.00°, β = 90.00° and γ = 90.00°. The inequivalent atoms are Ca at (0.2500, 0.2500, 0.2500), Nb at (0.0000, 0.0000, 0.0000) and Fe at (0.0000, 0.0000, 0.5000).

The calculation puts the density of states at the Fermi level at 4.1396 states/eV per atom. The volume is 356.8 Å³ per cell.

=====

The data favor 1); the next most stable structure lies 418 meV/atom above it.

=====

1) Compound: Ca3NbFe
Source: Alexandria via LeMat-Bulk
Functional: PBE-GGA
Structure: relaxed

It has space group Pm-3m (No. 221), with a = 5.4573 Å, b = 5.4573 Å, c = 5.4573 Å, α = 90.00°, β = 90.00° and γ = 90.00°. The inequivalent atoms are Ca at (0.0000, 0.0000, 0.5000), Nb at (0.0000, 0.0000, 0.0000) and Fe at (0.5000, 0.5000, 0.5000).

The calculation puts the density of states at the Fermi level at 3.4994 states/eV per atom. The volume is 162.5 Å³ per cell.

=====

2) Compound: Ca3NbFe
Source: Alexandria via LeMat-Bulk
Functional: PBE-GGA
Structure: relaxed

It has space group Pm-3m (No. 221), with a = 5.3040 Å, b = 5.3040 Å, c = 5.3040 Å, α = 90.00°, β = 90.00° and γ = 90.00°. The inequivalent atoms are Ca at (0.0000, 0.0000, 0.5000), Nb at (0.5000, 0.5000, 0.5000) and Fe at (0.0000, 0.0000, 0.0000).

The calculation puts the density of states at the Fermi level at 1.5802 states/eV per atom. The volume is 149.2 Å³ per cell.

=====

The data favor 2); the next most stable structure lies 604 meV/atom above it.

=====

1) Compound: CaNb2Fe
Source: Alexandria via LeMat-Bulk
Functional: PBE-GGA
Structure: relaxed

It has space group Fm-3m (No. 225), with a = 6.5168 Å, b = 6.5168 Å, c = 6.5168 Å, α = 90.00°, β = 90.00° and γ = 90.00°. The inequivalent atoms are Ca at (0.0000, 0.0000, 0.0000), Nb at (0.2500, 0.2500, 0.2500) and Fe at (0.0000, 0.0000, 0.5000).

The calculation puts the density of states at the Fermi level at 1.3747 states/eV per atom. The volume is 276.8 Å³ per cell.

=====

2) Compound: CaNb2Fe
Source: Alexandria via LeMat-Bulk
Functional: PBE-GGA
Structure: relaxed

It has space group I4_1/amd (No. 141, origin choice 2), with a = 5.0003 Å, b = 5.0003 Å, c = 16.7043 Å, α = 90.00°, β = 90.00° and γ = 90.00°. The inequivalent atoms are Ca at (0.0000, 0.2500, 0.3750), Nb at (0.0000, 0.0000, 0.0000) and Fe at (0.0000, 0.2500, 0.8750).

The calculation puts the density of states at the Fermi level at 1.3664 states/eV per atom. The volume is 417.7 Å³ per cell.

=====

The data favor 1); the next most stable structure lies 395 meV/atom above it.

=====

1) Compound: CaNb3Fe
Source: Alexandria via LeMat-Bulk
Functional: PBE-GGA
Structure: relaxed

It has space group Pm-3m (No. 221), with a = 4.7389 Å, b = 4.7389 Å, c = 4.7389 Å, α = 90.00°, β = 90.00° and γ = 90.00°. The inequivalent atoms are Ca at (0.0000, 0.0000, 0.0000), Nb at (0.0000, 0.5000, 0.5000) and Fe at (0.5000, 0.5000, 0.5000).

The calculation puts the density of states at the Fermi level at 0.8862 states/eV per atom. The volume is 106.4 Å³ per cell.

=====

2) Compound: CaNb3Fe
Source: Alexandria via LeMat-Bulk
Functional: PBE-GGA
Structure: relaxed

It has space group Pm-3m (No. 221), with a = 4.6448 Å, b = 4.6448 Å, c = 4.6448 Å, α = 90.00°, β = 90.00° and γ = 90.00°. The inequivalent atoms are Ca at (0.0000, 0.0000, 0.0000), Nb at (0.0000, 0.0000, 0.5000) and Fe at (0.5000, 0.5000, 0.5000).

The calculation puts the density of states at the Fermi level at 2.2480 states/eV per atom. The volume is 100.2 Å³ per cell.

=====

The data favor 1); the next most stable structure lies 2046 meV/atom above it.